#i
## Ta3Mo (SCAN)

Data for Ta3Mo at its PBEsol-relaxed geometry.

Its magnetization is 0.00 μB/f.u. Its space group is No. 129.

The structure in CIF format:
```
data_Ta3Mo
_cell_length_a 3.219
_cell_length_b 3.219
_cell_length_c 13.084
_cell_angle_alpha 90.00
_cell_angle_beta 90.00
_cell_angle_gamma 90.00
_space_group_name_H-M_alt 'P 1'
_space_group_IT_number 1
loop_
_space_group_symop_operation_xyz
'x,y,z'
loop_
_atom_site_label
_atom_site_fract_x
_atom_site_fract_y
_atom_site_fract_z
_atom_site_occupancy
Ta1 0.250 0.250 0.064 1
Ta2 0.250 0.250 0.320 1
Ta3 0.250 0.250 0.808 1
Ta4 0.750 0.750 0.192 1
Ta5 0.750 0.750 0.680 1
Ta6 0.750 0.750 0.936 1
Mo1 0.250 0.250 0.558 1
Mo2 0.750 0.750 0.442 1
```

#ii
## Ta3Mo (SCAN)

Data for Ta3Mo at its PBEsol-relaxed geometry.

Its magnetization is 0.00 μB/f.u. Its space group is No. 2.

The structure in CIF format:
```
data_Ta3Mo
_cell_length_a 5.368
_cell_length_b 5.388
_cell_length_c 5.583
_cell_angle_alpha 99.70
_cell_angle_beta 100.20
_cell_angle_gamma 117.19
_space_group_name_H-M_alt 'P 1'
_space_group_IT_number 1
loop_
_space_group_symop_operation_xyz
'x,y,z'
loop_
_atom_site_label
_atom_site_fract_x
_atom_site_fract_y
_atom_site_fract_z
_atom_site_occupancy
Ta1 0.001 0.258 0.126 1
Ta2 0.489 0.251 0.872 1
Ta3 0.490 0.750 0.623 1
Ta4 0.510 0.250 0.377 1
Ta5 0.511 0.749 0.128 1
Ta6 0.999 0.742 0.874 1
Mo1 0.001 0.244 0.624 1
Mo2 0.999 0.756 0.376 1
```

#iii
## Ta3Mo (SCAN)

Data for Ta3Mo at its PBEsol-relaxed geometry.

Its magnetization is 0.00 μB/f.u. Its space group is No. 74.

The structure in CIF format:
```
data_Ta3Mo
_cell_length_a 9.614
_cell_length_b 9.614
_cell_length_c 9.614
_cell_angle_alpha 160.65
_cell_angle_beta 152.53
_cell_angle_gamma 33.82
_space_group_name_H-M_alt 'P 1'
_space_group_IT_number 1
loop_
_space_group_symop_operation_xyz
'x,y,z'
loop_
_atom_site_label
_atom_site_fract_x
_atom_site_fract_y
_atom_site_fract_z
_atom_site_occupancy
Ta1 0.183 0.433 0.750 1
Ta2 0.311 0.061 0.250 1
Ta3 0.437 0.687 0.750 1
Ta4 0.563 0.313 0.250 1
Ta5 0.689 0.939 0.750 1
Ta6 0.817 0.567 0.250 1
Mo1 0.059 0.809 0.250 1
Mo2 0.941 0.191 0.750 1
```

Energy ordering: #ii at the bottom, the next structure 13 meV/atom above.

#i
## Ta3Mo (SCAN)

Data for Ta3Mo at its PBEsol-relaxed geometry.

Its magnetization is 0.00 μB/f.u. Its space group is No. 65.

The structure in CIF format:
```
data_Ta3Mo
_cell_length_a 2.842
_cell_length_b 2.842
_cell_length_c 9.028
_cell_angle_alpha 90.00
_cell_angle_beta 90.00
_cell_angle_gamma 111.42
_space_group_name_H-M_alt 'P 1'
_space_group_IT_number 1
loop_
_space_group_symop_operation_xyz
'x,y,z'
loop_
_atom_site_label
_atom_site_fract_x
_atom_site_fract_y
_atom_site_fract_z
_atom_site_occupancy
Ta1 0.000 0.000 0.000 1
Ta2 0.500 0.500 0.260 1
Ta3 0.500 0.500 0.740 1
Mo1 0.000 0.000 0.500 1
```

#ii
## Ta3Mo (SCAN)

Data for Ta3Mo at its PBEsol-relaxed geometry.

Its magnetization is 0.00 μB/f.u. Its space group is No. 71.

The structure in CIF format:
```
data_Ta3Mo
_cell_length_a 5.379
_cell_length_b 5.379
_cell_length_c 5.379
_cell_angle_alpha 145.23
_cell_angle_beta 129.40
_cell_angle_gamma 62.86
_space_group_name_H-M_alt 'P 1'
_space_group_IT_number 1
loop_
_space_group_symop_operation_xyz
'x,y,z'
loop_
_atom_site_label
_atom_site_fract_x
_atom_site_fract_y
_atom_site_fract_z
_atom_site_occupancy
Ta1 0.000 0.000 0.000 1
Ta2 0.260 0.760 0.500 1
Ta3 0.740 0.240 0.500 1
Mo1 0.500 0.500 0.000 1
```

Energy ordering: #ii at the bottom, the next structure 56 meV/atom above.

#i
## Ta3Mo (SCAN)

Data for Ta3Mo at its PBEsol-relaxed geometry.

Its magnetization is 0.00 μB/f.u. Its space group is No. 63.

The structure in CIF format:
```
data_Ta3Mo
_cell_length_a 5.589
_cell_length_b 5.589
_cell_length_c 4.593
_cell_angle_alpha 90.00
_cell_angle_beta 90.00
_cell_angle_gamma 109.22
_space_group_name_H-M_alt 'P 1'
_space_group_IT_number 1
loop_
_space_group_symop_operation_xyz
'x,y,z'
loop_
_atom_site_label
_atom_site_fract_x
_atom_site_fract_y
_atom_site_fract_z
_atom_site_occupancy
Ta1 0.120 0.880 0.750 1
Ta2 0.132 0.382 0.750 1
Ta3 0.382 0.132 0.250 1
Ta4 0.618 0.868 0.750 1
Ta5 0.868 0.618 0.250 1
Ta6 0.880 0.120 0.250 1
Mo1 0.373 0.627 0.250 1
Mo2 0.627 0.373 0.750 1
```

#ii
## Ta3Mo (SCAN)

Data for Ta3Mo at its PBEsol-relaxed geometry.

Its magnetization is 0.00 μB/f.u. Its space group is No. 8.

The structure in CIF format:
```
data_Ta3Mo
_cell_length_a 6.474
_cell_length_b 6.474
_cell_length_c 6.473
_cell_angle_alpha 90.17
_cell_angle_beta 90.17
_cell_angle_gamma 89.06
_space_group_name_H-M_alt 'P 1'
_space_group_IT_number 1
loop_
_space_group_symop_operation_xyz
'x,y,z'
loop_
_atom_site_label
_atom_site_fract_x
_atom_site_fract_y
_atom_site_fract_z
_atom_site_occupancy
Ta1 0.000 0.000 0.000 1
Ta2 0.001 0.001 0.495 1
Ta3 0.003 0.495 0.000 1
Ta4 0.003 0.495 0.496 1
Ta5 0.254 0.744 0.745 1
Ta6 0.254 0.745 0.251 1
Ta7 0.495 0.003 0.000 1
Ta8 0.495 0.003 0.496 1
Ta9 0.497 0.497 0.001 1
Ta10 0.744 0.254 0.745 1
Ta11 0.745 0.254 0.251 1
Ta12 0.747 0.747 0.745 1
Mo1 0.249 0.249 0.250 1
Mo2 0.249 0.249 0.748 1
Mo3 0.499 0.499 0.497 1
Mo4 0.750 0.750 0.249 1
```

Energy ordering: #i at the bottom, the next structure 18 meV/atom above.

#i
## Ta3Mo (SCAN)

Data for Ta3Mo at its PBEsol-relaxed geometry.

Its magnetization is 0.00 μB/f.u. Its space group is No. 225.

The structure in CIF format:
```
data_Ta3Mo
_cell_length_a 4.574
_cell_length_b 4.574
_cell_length_c 4.574
_cell_angle_alpha 60.00
_cell_angle_beta 60.00
_cell_angle_gamma 60.00
_space_group_name_H-M_alt 'P 1'
_space_group_IT_number 1
loop_
_space_group_symop_operation_xyz
'x,y,z'
loop_
_atom_site_label
_atom_site_fract_x
_atom_site_fract_y
_atom_site_fract_z
_atom_site_occupancy
Ta1 0.000 0.000 0.000 1
Ta2 0.250 0.250 0.250 1
Ta3 0.750 0.750 0.750 1
Mo1 0.500 0.500 0.500 1
```

#ii
## Ta3Mo (SCAN)

Data for Ta3Mo at its PBEsol-relaxed geometry.

Its magnetization is 0.00 μB/f.u. Its space group is No. 11.

The structure in CIF format:
```
data_Ta3Mo
_cell_length_a 2.825
_cell_length_b 4.589
_cell_length_c 10.495
_cell_angle_alpha 90.00
_cell_angle_beta 94.36
_cell_angle_gamma 90.00
_space_group_name_H-M_alt 'P 1'
_space_group_IT_number 1
loop_
_space_group_symop_operation_xyz
'x,y,z'
loop_
_atom_site_label
_atom_site_fract_x
_atom_site_fract_y
_atom_site_fract_z
_atom_site_occupancy
Ta1 0.055 0.250 0.194 1
Ta2 0.314 0.250 0.936 1
Ta3 0.444 0.750 0.320 1
Ta4 0.556 0.250 0.680 1
Ta5 0.686 0.750 0.064 1
Ta6 0.945 0.750 0.806 1
Mo1 0.182 0.750 0.560 1
Mo2 0.818 0.250 0.440 1
```

#iii
## Ta3Mo (SCAN)

Data for Ta3Mo at its PBEsol-relaxed geometry.

Its magnetization is 0.00 μB/f.u. Its space group is No. 67.

The structure in CIF format:
```
data_Ta3Mo
_cell_length_a 2.820
_cell_length_b 2.820
_cell_length_c 18.215
_cell_angle_alpha 90.00
_cell_angle_beta 90.00
_cell_angle_gamma 110.39
_space_group_name_H-M_alt 'P 1'
_space_group_IT_number 1
loop_
_space_group_symop_operation_xyz
'x,y,z'
loop_
_atom_site_label
_atom_site_fract_x
_atom_site_fract_y
_atom_site_fract_z
_atom_site_occupancy
Ta1 0.250 0.750 0.193 1
Ta2 0.250 0.750 0.679 1
Ta3 0.250 0.750 0.936 1
Ta4 0.750 0.250 0.064 1
Ta5 0.750 0.250 0.321 1
Ta6 0.750 0.250 0.807 1
Mo1 0.250 0.750 0.442 1
Mo2 0.750 0.250 0.558 1
```

Energy ordering: #i at the bottom, the next structure 20 meV/atom above.

#i
## Ta3Mo (SCAN)

Data for Ta3Mo at its PBEsol-relaxed geometry.

Its magnetization is 0.00 μB/f.u. Its space group is No. 166.

The structure in CIF format:
```
data_Ta3Mo
_cell_length_a 5.345
_cell_length_b 5.345
_cell_length_c 5.345
_cell_angle_alpha 116.97
_cell_angle_beta 116.97
_cell_angle_gamma 116.97
_space_group_name_H-M_alt 'P 1'
_space_group_IT_number 1
loop_
_space_group_symop_operation_xyz
'x,y,z'
loop_
_atom_site_label
_atom_site_fract_x
_atom_site_fract_y
_atom_site_fract_z
_atom_site_occupancy
Ta1 0.000 0.500 0.500 1
Ta2 0.500 0.000 0.500 1
Ta3 0.500 0.500 0.000 1
Mo1 0.000 0.000 0.000 1
```

#ii
## Ta3Mo (SCAN)

Data for Ta3Mo at its PBEsol-relaxed geometry.

Its magnetization is 0.00 μB/f.u. Its space group is No. 51.

The structure in CIF format:
```
data_Ta3Mo
_cell_length_a 3.228
_cell_length_b 4.579
_cell_length_c 9.174
_cell_angle_alpha 90.00
_cell_angle_beta 90.00
_cell_angle_gamma 90.00
_space_group_name_H-M_alt 'P 1'
_space_group_IT_number 1
loop_
_space_group_symop_operation_xyz
'x,y,z'
loop_
_atom_site_label
_atom_site_fract_x
_atom_site_fract_y
_atom_site_fract_z
_atom_site_occupancy
Ta1 0.250 0.000 0.123 1
Ta2 0.250 0.000 0.626 1
Ta3 0.250 0.500 0.868 1
Ta4 0.750 0.000 0.374 1
Ta5 0.750 0.000 0.877 1
Ta6 0.750 0.500 0.132 1
Mo1 0.250 0.500 0.382 1
Mo2 0.750 0.500 0.618 1
```

#iii
## Ta3Mo (SCAN)

Data for Ta3Mo at its PBEsol-relaxed geometry.

Its magnetization is 0.00 μB/f.u. Its space group is No. 139.

The structure in CIF format:
```
data_Ta3Mo
_cell_length_a 7.220
_cell_length_b 7.220
_cell_length_c 7.220
_cell_angle_alpha 143.00
_cell_angle_beta 143.00
_cell_angle_gamma 53.33
_space_group_name_H-M_alt 'P 1'
_space_group_IT_number 1
loop_
_space_group_symop_operation_xyz
'x,y,z'
loop_
_atom_site_label
_atom_site_fract_x
_atom_site_fract_y
_atom_site_fract_z
_atom_site_occupancy
Ta1 0.000 0.500 0.500 1
Ta2 0.123 0.123 0.000 1
Ta3 0.250 0.750 0.500 1
Ta4 0.500 0.000 0.500 1
Ta5 0.750 0.250 0.500 1
Ta6 0.877 0.877 0.000 1
Mo1 0.373 0.373 0.000 1
Mo2 0.627 0.627 0.000 1
```

Energy ordering: #iii at the bottom, the next structure 9 meV/atom above.